# 1
# K3PrNp2Se6 | Alexandria via LeMat-Bulk | GGA-PBE | optimized geometry
data_K3PrNp2Se6
_space_group_name_H-M_alt 'C 1 2/m 1'
_space_group_IT_number 12
_cell_length_a 7.461
_cell_length_b 12.923
_cell_length_c 8.080
_cell_angle_alpha 90.00
_cell_angle_beta 107.94
_cell_angle_gamma 90.00
loop_
_space_group_symop_operation_xyz
'x,y,z'
'-x,-y,-z'
'-x,y,-z'
'x,-y,z'
'x+1/2,y+1/2,z'
'-x+1/2,-y+1/2,-z'
'-x+1/2,y+1/2,-z'
'x+1/2,-y+1/2,z'
loop_
_atom_site_label
_atom_site_type_symbol
_atom_site_fract_x
_atom_site_fract_y
_atom_site_fract_z
K1 K 0.000 0.000 0.000
K2 K 0.000 0.335 0.000
Pr1 Pr 0.000 0.500 0.500
Np1 Np 0.000 0.167 0.500
Se1 Se 0.228 0.000 0.708
Se2 Se 0.240 0.329 0.708
# E, eV/atom: -5.9868
# Total magnetization, μB per cell: 16.00

***

# 2
# Al2TcAs | Alexandria via LeMat-Bulk | GGA-PBE | optimized geometry
data_Al2TcAs
_space_group_name_H-M_alt 'R 3 m'
_space_group_IT_number 160
_space_group_name_Hall 'R 3 -2"'
_cell_length_a 3.0621
_cell_length_b 3.0621
_cell_length_c 24.2702
_cell_angle_alpha 90.00
_cell_angle_beta 90.00
_cell_angle_gamma 120.00
loop_
_atom_site_label
_atom_site_type_symbol
_atom_site_fract_x
_atom_site_fract_y
_atom_site_fract_z
Al1 Al 0.0000 0.0000 0.0000
Al2 Al 0.0000 0.0000 0.2427
Tc1 Tc 0.0000 0.0000 0.7480
As1 As 0.0000 0.0000 0.4874
# ΔH_f (0 K), eV per atom: -0.06
# Total magnetization, μB per cell: 0.00

***

# 3
# NiHRh2W | Alexandria via LeMat-Bulk | GGA-PBE | optimized geometry
data_NiHRh2W
_space_group_name_H-M_alt 'P 4/m m m'
_space_group_IT_number 123
_space_group_name_Hall '-P 4 2'
_cell_length_a 3.917
_cell_length_b 3.917
_cell_length_c 3.750
_cell_angle_alpha 90.00
_cell_angle_beta 90.00
_cell_angle_gamma 90.00
loop_
_atom_site_label
_atom_site_type_symbol
_atom_site_fract_x
_atom_site_fract_y
_atom_site_fract_z
Ni1 Ni 0.000 0.000 0.000
H1 H 0.000 0.000 0.500
Rh1 Rh 0.000 0.500 0.500
W1 W 0.500 0.500 0.000
# E, eV/atom: -7.3715
# Total magnetization, μB per cell: 0.00

***

# 4
# LaPrTh2P4 | Alexandria via LeMat-Bulk | GGA-PBE | optimized geometry
data_LaPrTh2P4
_space_group_name_H-M_alt 'P 1 2/m 1'
_space_group_IT_number 10
_cell_length_a 7.253
_cell_length_b 4.189
_cell_length_c 7.258
_cell_angle_alpha 90.00
_cell_angle_beta 109.52
_cell_angle_gamma 90.00
loop_
_space_group_symop_operation_xyz
'x,y,z'
'-x,-y,-z'
'-x,y,-z'
'x,-y,z'
loop_
_atom_site_label
_atom_site_type_symbol
_atom_site_fract_x
_atom_site_fract_y
_atom_site_fract_z
La1 La 0.000 0.000 0.000
Pr1 Pr 0.500 0.500 0.000
Th1 Th 0.000 0.500 0.500
Th2 Th 0.500 0.000 0.500
P1 P 0.248 0.000 0.742
P2 P 0.254 0.500 0.259
# ΔH_f (0 K), eV per atom: -1.57
# Total magnetization, μB per cell: 0.00

***

# 5
# NpTl4Se4 | Alexandria via LeMat-Bulk | GGA-PBE | optimized geometry
data_NpTl4Se4
_space_group_name_H-M_alt 'I -4 2 m'
_space_group_IT_number 121
_space_group_name_Hall 'I -4 2'
_cell_length_a 7.769
_cell_length_b 7.769
_cell_length_c 11.571
_cell_angle_alpha 90.00
_cell_angle_beta 90.00
_cell_angle_gamma 90.00
loop_
_atom_site_label
_atom_site_type_symbol
_atom_site_fract_x
_atom_site_fract_y
_atom_site_fract_z
Np1 Np 0.000 0.000 0.000
Tl1 Tl 0.000 0.000 0.337
Tl2 Tl 0.000 0.500 0.000
Se1 Se 0.190 0.190 0.148
# E, eV/atom: -4.4743
# Total magnetization, μB per cell: 5.95

***

# 6
# TiTc2Ge4 | Alexandria via LeMat-Bulk | GGA-PBE | optimized geometry
data_TiTc2Ge4
_space_group_name_H-M_alt 'I 4/m m m'
_space_group_IT_number 139
_space_group_name_Hall '-I 4 2'
_cell_length_a 4.732
_cell_length_b 4.732
_cell_length_c 12.579
_cell_angle_alpha 90.00
_cell_angle_beta 90.00
_cell_angle_gamma 90.00
loop_
_atom_site_label
_atom_site_type_symbol
_atom_site_fract_x
_atom_site_fract_y
_atom_site_fract_z
Ti1 Ti 0.000 0.000 0.000
Tc1 Tc 0.000 0.000 0.401
Ge1 Ge 0.000 0.000 0.205
Ge2 Ge 0.000 0.500 0.000
# ΔH_f (0 K), eV per atom: 0.55
# Total magnetization, μB per cell: 3.98

***

Number 1: density 5.4 Mg/m³. Number 2: density 5.7 Mg/m³. Number 3: density 13.0 Mg/m³. Number 4: density 6.9 Mg/m³. Number 5: density 6.5 Mg/m³. Number 6: density 6.3 Mg/m³.